First-principles (GGA-PBE) data for a relaxed TeMoWN2 crystal, as listed in Alexandria.

Symmetry: No. 123
Distance to the lowest polymorph of the same formula in eV per formula unit: 1.897
Energy relative to the elements, uncorrected in eV/atom: 1.2669
E_tot in eV for the cell shown: -37.24

Unit cell a=3.9600 b=3.9600 c=5.7372 alpha=90.00 beta=90.00 gamma=90.00
Sites, in units of the cell vectors:
1 N 0.5000 0.0000 0.0000
2 Te 0.0000 0.0000 0.5000
3 Mo 0.0000 0.0000 0.0000
4 N 0.0000 0.5000 0.0000
5 W 0.5000 0.5000 0.5000


First-principles (GGA-PBE) data for a relaxed Ti4Ga2Pd3 crystal, as listed in Alexandria.

Symmetry: No. 12
ΔE_f in kJ per mole of atoms: -52.7
E_tot in eV for the cell shown: -58.13

Unit cell a=4.0107 b=4.9389 c=8.1425 alpha=74.80 beta=75.74 gamma=66.04
Sites, in units of the cell vectors:
1 Pd 0.3360 0.7729 0.5552
2 Ti 0.3322 0.4478 0.8877
3 Pd 0.0000 0.0000 0.0000
4 Ti 0.0127 0.3101 0.6645
5 Ga 0.6736 0.8789 0.7739
6 Ti 0.6678 0.5522 0.1123
7 Ti 0.9873 0.6899 0.3355
8 Ga 0.3264 0.1211 0.2261
9 Pd 0.6640 0.2271 0.4448


First-principles (GGA-PBE) data for a relaxed Hf2Sc3In2 crystal, as listed in Alexandria.

Symmetry: No. 65
ΔE_f in kJ per mole of atoms: -14.4
E_tot in eV for the cell shown: -45.42

Unit cell a=4.8070 b=3.1184 c=10.9737 alpha=90.00 beta=77.35 gamma=90.00
Sites, in units of the cell vectors:
1 Sc 0.1488 0.0000 0.7023
2 In 0.4250 0.5000 0.1499
3 In 0.5750 0.5000 0.8501
4 Hf 0.2779 0.5000 0.4443
5 Hf 0.7221 0.5000 0.5557
6 Sc 0.0000 0.0000 0.0000
7 Sc 0.8512 0.0000 0.2977


First-principles (GGA-PBE) data for a relaxed Ca3Mg2Ga4 crystal, as listed in Alexandria.

Symmetry: No. 12
ΔE_f in kJ per mole of atoms: -36.2
E_tot in eV for the cell shown: -24.68

Unit cell a=4.5390 b=6.2060 c=8.9218 alpha=109.15 beta=90.00 gamma=111.45
Sites, in units of the cell vectors:
1 Ga 0.9289 0.8577 0.5881
2 Ga 0.2672 0.5344 0.9336
3 Mg 0.3255 0.6509 0.6565
4 Mg 0.6745 0.3491 0.3435
5 Ca 0.0000 0.0000 0.0000
6 Ca 0.6282 0.2564 0.6931
7 Ga 0.7328 0.4656 0.0664
8 Ga 0.0711 0.1423 0.4119
9 Ca 0.3718 0.7436 0.3069


Please write out number 2 again, unchanged.
First-principles (GGA-PBE) data for a relaxed Ti4Ga2Pd3 crystal, as listed in Alexandria.

Symmetry: No. 12
ΔE_f in kJ per mole of atoms: -52.7
E_tot in eV for the cell shown: -58.13

Unit cell a=4.0107 b=4.9389 c=8.1425 alpha=74.80 beta=75.74 gamma=66.04
Sites, in units of the cell vectors:
1 Pd 0.3360 0.7729 0.5552
2 Ti 0.3322 0.4478 0.8877
3 Pd 0.0000 0.0000 0.0000
4 Ti 0.0127 0.3101 0.6645
5 Ga 0.6736 0.8789 0.7739
6 Ti 0.6678 0.5522 0.1123
7 Ti 0.9873 0.6899 0.3355
8 Ga 0.3264 0.1211 0.2261
9 Pd 0.6640 0.2271 0.4448


Which of these has the highest E_tot?
Ca3Mg2Ga4


E_tot of number 3 (Hf2Sc3In2)?
-45.42 eV for the cell shown